Record 1
A relaxed Er2USe5 crystal, computed with GGA-PBE.

Output
Magnetization: 0.25 μB per atom
Formation energy from raw total energies: -124.9 kJ/mol of atoms
DFT total energy: -192.773 eV/cell

Cell: 5.5783 9.4590 15.2598 Å, 90.00 90.00 90.00°
With the nearest neighbours (Å) after each atom.
Space group Fmmm (No. 69)
One atom of each set of equivalent atoms:
1 Er 0.0000 0.0000 0.1810 [8 per cell]  3 Se 2.76-2.94
2 U 0.0000 0.0000 0.5000 [4 per cell]  6 Se 2.79-2.84
3 Se 0.0000 0.0000 0.0000 [4 per cell]  2 Er 2.76, 2 U 2.79
4 Se 0.0000 0.1649 0.3443 [16 per cell]  1 U 2.84, 1 Er 2.94, 1 Se 3.12

---

Record 2
A relaxed CeDyThZr crystal, computed with GGA-PBE.

Output
Magnetization: 0.18 μB per atom
ΔH_f (0 K): 202 meV/atom
DFT total energy: -102.788 eV/cell

Cell: 7.7278 7.7278 7.7278 Å, 90.00 90.00 90.00°
With the nearest neighbours (Å) after each atom.
Space group F-43m (No. 216)
One atom of each set of equivalent atoms:
1 Ce 0.0000 0.0000 0.0000 [4 per cell]  4 Dy 3.35, 4 Zr 3.35
2 Dy 0.2500 0.2500 0.7500 [4 per cell]  4 Th 3.35, 4 Ce 3.35
3 Th 0.0000 0.0000 0.5000 [4 per cell]  4 Zr 3.35, 4 Dy 3.35
4 Zr 0.2500 0.2500 0.2500 [4 per cell]  4 Th 3.35, 4 Ce 3.35

---

Record 3
A relaxed TbZr2Zn crystal, computed with GGA-PBE.

Output
Magnetization: 0.00 μB per atom
Polymorph energy (0 for the lowest one): 113 meV per atom
ΔH_f (0 K): 68 meV/atom
DFT total energy: -68.182 eV/cell

Cell: 3.3266 3.3266 29.4799 Å, 90.00 90.00 120.00°
With the nearest neighbours (Å) after each atom.
Space group R3m (No. 160, hexagonal axes)
One atom of each set of equivalent atoms:
1 Tb 0.0000 0.0000 0.0000 [3 per cell]  6 Tb 3.33, 6 Zr 3.34-3.35
2 Zr 0.0000 0.0000 0.2402 [3 per cell]  3 Zn 2.89
3 Zr 0.0000 0.0000 0.4262 [3 per cell]  3 Zn 2.90
4 Zn 0.0000 0.0000 0.8334 [3 per cell]  6 Zr 2.89-2.90